A geometry-optimized Fe2SiAg structure, computed with PBE-GGA.

Lattice parameters (Å, degrees): 2.756 2.756 6.777 90.00 90.00 90.00
Space group P4/mmm (No. 123)
One atom of each set of equivalent atoms:
Fe1 0.000 0.000 0.204 (multiplicity 2)
Si1 0.500 0.500 0.000 (multiplicity 1)
Ag1 0.500 0.500 0.500 (multiplicity 1)

Theoretical density, Mg/m³: 7.99
D(E_F), states/eV per cell: 4.63
Raw formation energy, eV per atom: 0.040